# AcBW (GGA-PBE, relaxed)
# Excess energy over the best structure of this formula in the dataset (eV/atom): 0.000
# Electronic total energy (eV for the cell shown): -20.231
data_AcBW
_space_group_name_H-M_alt 'P 1'
_space_group_IT_number 1
_space_group_name_Hall 'P 1'
_cell_length_a 4.417
_cell_length_b 4.417
_cell_length_c 4.417
_cell_angle_alpha 60.00
_cell_angle_beta 60.00
_cell_angle_gamma 60.00
loop_
_atom_site_label
_atom_site_fract_x
_atom_site_fract_y
_atom_site_fract_z
W1 0.000 0.000 0.000
Ac1 0.500 0.500 0.500
B1 0.250 0.250 0.250

***

# AcBW (GGA-PBE, relaxed)
# Excess energy over the best structure of this formula in the dataset (eV/atom): 1.340
# Electronic total energy (eV for the cell shown): -16.212
data_AcBW
_space_group_name_H-M_alt 'P 1'
_space_group_IT_number 1
_space_group_name_Hall 'P 1'
_cell_length_a 4.823
_cell_length_b 4.823
_cell_length_c 4.823
_cell_angle_alpha 60.00
_cell_angle_beta 60.00
_cell_angle_gamma 60.00
loop_
_atom_site_label
_atom_site_fract_x
_atom_site_fract_y
_atom_site_fract_z
B1 0.250 0.250 0.250
W1 0.750 0.750 0.750
Ac1 0.000 0.000 0.000

***

# AcZnB4 (GGA-PBE, relaxed)
# Excess energy over the best structure of this formula in the dataset (eV/atom): 0.027
# Electronic total energy (eV for the cell shown): -30.496
data_AcZnB4
_space_group_name_H-M_alt 'P 1'
_space_group_IT_number 1
_space_group_name_Hall 'P 1'
_cell_length_a 3.251
_cell_length_b 3.251
_cell_length_c 7.725
_cell_angle_alpha 90.00
_cell_angle_beta 90.00
_cell_angle_gamma 120.00
loop_
_atom_site_label
_atom_site_fract_x
_atom_site_fract_y
_atom_site_fract_z
B1 0.667 0.333 0.794
B2 0.333 0.667 0.794
B3 0.667 0.333 0.206
B4 0.333 0.667 0.206
Zn1 0.000 0.000 0.000
Ac1 0.000 0.000 0.500

***

# AcZnB4 (GGA-PBE, relaxed)
# Excess energy over the best structure of this formula in the dataset (eV/atom): 0.000
# Electronic total energy (eV for the cell shown): -30.660
data_AcZnB4
_space_group_name_H-M_alt 'P 1'
_space_group_IT_number 1
_space_group_name_Hall 'P 1'
_cell_length_a 5.501
_cell_length_b 5.501
_cell_length_c 5.501
_cell_angle_alpha 146.02
_cell_angle_beta 120.82
_cell_angle_gamma 70.02
loop_
_atom_site_label
_atom_site_fract_x
_atom_site_fract_y
_atom_site_fract_z
B1 0.920 0.245 0.675
B2 0.430 0.755 0.675
B3 0.080 0.755 0.325
B4 0.570 0.245 0.325
Ac1 0.500 0.500 0.000
Zn1 0.000 0.000 0.000

***

# AcZrB4 (GGA-PBE, relaxed)
# Excess energy over the best structure of this formula in the dataset (eV/atom): 0.269
# Electronic total energy (eV for the cell shown): -40.483
data_AcZrB4
_space_group_name_H-M_alt 'P 1'
_space_group_IT_number 1
_space_group_name_Hall 'P 1'
_cell_length_a 5.266
_cell_length_b 5.266
_cell_length_c 5.266
_cell_angle_alpha 143.59
_cell_angle_beta 114.07
_cell_angle_gamma 77.72
loop_
_atom_site_label
_atom_site_fract_x
_atom_site_fract_y
_atom_site_fract_z
B1 0.408 0.745 0.663
B2 0.918 0.255 0.663
B3 0.592 0.255 0.337
B4 0.082 0.745 0.337
Zr1 0.000 0.000 0.000
Ac1 0.500 0.500 0.000

***

# AcZrB4 (GGA-PBE, relaxed)
# Excess energy over the best structure of this formula in the dataset (eV/atom): 0.000
# Electronic total energy (eV for the cell shown): -42.095
data_AcZrB4
_space_group_name_H-M_alt 'P 1'
_space_group_IT_number 1
_space_group_name_Hall 'P 1'
_cell_length_a 3.268
_cell_length_b 3.268
_cell_length_c 8.140
_cell_angle_alpha 90.00
_cell_angle_beta 90.00
_cell_angle_gamma 120.00
loop_
_atom_site_label
_atom_site_fract_x
_atom_site_fract_y
_atom_site_fract_z
B1 0.333 0.667 0.288
B2 0.333 0.667 0.712
B3 0.667 0.333 0.712
B4 0.667 0.333 0.288
Ac1 0.000 0.000 0.000
Zr1 0.000 0.000 0.500

***

# AcZrB (GGA-PBE, relaxed)
# Excess energy over the best structure of this formula in the dataset (eV/atom): 0.000
# Electronic total energy (eV for the cell shown): -17.959
data_AcZrB
_space_group_name_H-M_alt 'P 1'
_space_group_IT_number 1
_space_group_name_Hall 'P 1'
_cell_length_a 4.602
_cell_length_b 4.602
_cell_length_c 4.602
_cell_angle_alpha 60.00
_cell_angle_beta 60.00
_cell_angle_gamma 60.00
loop_
_atom_site_label
_atom_site_fract_x
_atom_site_fract_y
_atom_site_fract_z
Ac1 0.250 0.250 0.250
Zr1 0.750 0.750 0.750
B1 0.000 0.000 0.000

***

# BaAc2Cd3 (GGA-PBE, relaxed)
# Electronic total energy (eV for the cell shown): -14.734
data_BaAc2Cd3
_space_group_name_H-M_alt 'P 1'
_space_group_IT_number 1
_space_group_name_Hall 'P 1'
_cell_length_a 4.101
_cell_length_b 4.101
_cell_length_c 12.462
_cell_angle_alpha 90.00
_cell_angle_beta 90.00
_cell_angle_gamma 90.00
loop_
_atom_site_label
_atom_site_fract_x
_atom_site_fract_y
_atom_site_fract_z
Cd1 0.500 0.500 0.682
Cd2 0.500 0.500 0.318
Cd3 0.500 0.500 0.000
Ac1 0.000 0.000 0.839
Ac2 0.000 0.000 0.161
Ba1 0.000 0.000 0.500

***

# BaAcCu (GGA-PBE, relaxed)
# Excess energy over the best structure of this formula in the dataset (eV/atom): 0.000
# Electronic total energy (eV for the cell shown): -9.131
data_BaAcCu
_space_group_name_H-M_alt 'P 1'
_space_group_IT_number 1
_space_group_name_Hall 'P 1'
_cell_length_a 5.422
_cell_length_b 5.422
_cell_length_c 5.422
_cell_angle_alpha 60.00
_cell_angle_beta 60.00
_cell_angle_gamma 60.00
loop_
_atom_site_label
_atom_site_fract_x
_atom_site_fract_y
_atom_site_fract_z
Ac1 0.250 0.250 0.250
Ba1 0.750 0.750 0.750
Cu1 0.000 0.000 0.000

***

# BaAcEr (GGA-PBE, relaxed)
# Excess energy over the best structure of this formula in the dataset (eV/atom): 0.000
# Electronic total energy (eV for the cell shown): -8.538
data_BaAcEr
_space_group_name_H-M_alt 'P 1'
_space_group_IT_number 1
_space_group_name_Hall 'P 1'
_cell_length_a 6.028
_cell_length_b 6.028
_cell_length_c 6.028
_cell_angle_alpha 60.00
_cell_angle_beta 60.00
_cell_angle_gamma 60.00
loop_
_atom_site_label
_atom_site_fract_x
_atom_site_fract_y
_atom_site_fract_z
Er1 0.000 0.000 0.000
Ba1 0.750 0.750 0.750
Ac1 0.250 0.250 0.250

***

# BaAcFe (GGA-PBE, relaxed)
# Excess energy over the best structure of this formula in the dataset (eV/atom): 0.000
# Electronic total energy (eV for the cell shown): -12.592
data_BaAcFe
_space_group_name_H-M_alt 'P 1'
_space_group_IT_number 1
_space_group_name_Hall 'P 1'
_cell_length_a 5.336
_cell_length_b 5.336
_cell_length_c 5.336
_cell_angle_alpha 60.00
_cell_angle_beta 60.00
_cell_angle_gamma 60.00
loop_
_atom_site_label
_atom_site_fract_x
_atom_site_fract_y
_atom_site_fract_z
Fe1 0.250 0.250 0.250
Ba1 0.500 0.500 0.500
Ac1 0.000 0.000 0.000

***

# BaAcGd (GGA-PBE, relaxed)
# Electronic total energy (eV for the cell shown): -8.274
data_BaAcGd
_space_group_name_H-M_alt 'P 1'
_space_group_IT_number 1
_space_group_name_Hall 'P 1'
_cell_length_a 6.064
_cell_length_b 6.064
_cell_length_c 6.064
_cell_angle_alpha 60.00
_cell_angle_beta 60.00
_cell_angle_gamma 60.00
loop_
_atom_site_label
_atom_site_fract_x
_atom_site_fract_y
_atom_site_fract_z
Ba1 0.250 0.250 0.250
Ac1 0.000 0.000 0.000
Gd1 0.750 0.750 0.750

***

- electronic total energy of number 3 (AcZnB4)?
  -30.496 eV for the cell shown

***

- The lowest electronic total energy belongs to which entry?
  number 6